# Sr3UP4 PBE optimized geometry
# V = 435 Å³/cell
# Energy relative to the elements = -809 kJ/mol of formula units
# Final energy = -92.715 eV for the cell shown
# Mass density = 4.77 g/cm³
data_Sr3UP4
_chemical_formula_sum 'Sr6 U2 P8'
_space_group_name_H-M_alt 'P 1 2/c 1'
_space_group_IT_number 13
_space_group_name_Hall '-P 2yc'
_cell_length_a 7.407
_cell_length_b 8.529
_cell_length_c 7.316
_cell_angle_alpha 90.00
_cell_angle_beta 109.84
_cell_angle_gamma 90.00
loop_
_atom_site_label
_atom_site_type_symbol
_atom_site_fract_x
_atom_site_fract_y
_atom_site_fract_z
Sr1 Sr 0.000 0.120 0.250
Sr2 Sr 0.000 0.378 0.750
Sr3 Sr 0.500 0.123 0.750
U1 U 0.500 0.374 0.250
P1 P 0.270 0.155 0.030
P2 P 0.297 0.398 0.498